Entry 1:
A relaxed PaTlAs crystal, computed with PBE-GGA.

Lattice parameters (Å, degrees): 14.8563 3.1551 6.6231 90.00 90.00 90.00
Element x y z (fractional)
Pa 0.0000 0.0000 0.0000
Pa 0.0000 0.5000 0.5000
Pa 0.5000 0.0000 0.0539
Pa 0.5000 0.5000 0.5539
Tl 0.3168 0.0000 0.7373
Tl 0.3168 0.5000 0.2373
Tl 0.6832 0.0000 0.7373
Tl 0.6832 0.5000 0.2373
As 0.1414 0.0000 0.3089
As 0.1414 0.5000 0.8089
As 0.8586 0.0000 0.3089
As 0.8586 0.5000 0.8089

Crystal system: orthorhombic
V: 25.87 Å³ per atom
Spin magnetization: 1.8 μB/cell
Energy relative to the elements: 16.8 kJ/mol of formula units


Entry 2:
A relaxed PaTlAs2 crystal, computed with PBE-GGA.

Lattice parameters (Å, degrees): 3.8181 3.8181 6.6787 90.00 90.00 90.00
Element x y z (fractional)
Pa 0.0000 0.0000 0.0000
Tl 0.0000 0.0000 0.5000
As 0.5000 0.5000 0.1947
As 0.5000 0.5000 0.8053

Crystal system: tetragonal
E above lowest polymorph: 0.020 eV/atom
V: 24.34 Å³ per atom
Spin magnetization: 0.0 μB/cell
Energy relative to the elements: -199.9 kJ/mol of formula units